Entry 1:
VASP calculation (PBE) on a geometry-optimized NaSrFe2 structure.

It has space group I4_1/amd (No. 141, origin choice 2), with a = 4.623 Å, b = 4.623 Å, c = 20.188 Å, α = 90.00°, β = 90.00° and γ = 90.00°. The asymmetric unit holds Na at (0.000, 0.250, 0.375), Sr at (0.000, 0.250, 0.875) and Fe at (0.000, 0.000, 0.500).

For the density of states at the Fermi level, the calculation gives 4.14 states/eV/f.u. The value obtained for the total magnetization is 1.261 μB/atom. Its crystal system is tetragonal. The value obtained for the raw total energy is -4.024 eV/atom. For the formation energy, the calculation gives 0.96 eV per atom.

Entry 2:
VASP calculation (PBE) on a geometry-optimized NaSrFe2 structure.

It has space group Fm-3m (No. 225), with a = 7.239 Å, b = 7.239 Å, c = 7.239 Å, α = 90.00°, β = 90.00° and γ = 90.00°. The asymmetric unit holds Na at (0.000, 0.000, 0.000), Sr at (0.000, 0.000, 0.500) and Fe at (0.250, 0.250, 0.250).

For the density of states at the Fermi level, the calculation gives 8.49 states/eV/f.u. The value obtained for the total magnetization is 1.412 μB/atom. Its crystal system is cubic. The value obtained for the raw total energy is -3.950 eV/atom. For the formation energy, the calculation gives 1.03 eV per atom.

Entry 3:
VASP calculation (PBE) on a geometry-optimized NaSr2Fe2 structure.

It has space group I4/mmm (No. 139), with a = 3.576 Å, b = 3.576 Å, c = 23.088 Å, α = 90.00°, β = 90.00° and γ = 90.00°. The asymmetric unit holds Na at (0.000, 0.000, 0.000), Sr at (0.000, 0.000, 0.361) and Fe at (0.000, 0.500, 0.250).

For the density of states at the Fermi level, the calculation gives 5.91 states/eV/f.u. The value obtained for the total magnetization is 0.943 μB/atom. Its crystal system is tetragonal. The value obtained for the raw total energy is -3.877 eV/atom. For the formation energy, the calculation gives 0.44 eV per atom.

Entry 4:
VASP calculation (PBE) on a geometry-optimized NaSr2TiFe structure.

It has space group P4/mmm (No. 123), with a = 6.142 Å, b = 6.142 Å, c = 4.335 Å, α = 90.00°, β = 90.00° and γ = 90.00°. The asymmetric unit holds Na at (0.000, 0.000, 0.000), Sr at (0.000, 0.500, 0.500), Ti at (0.500, 0.500, 0.000) and Fe at (0.500, 0.500, 0.500).

For the density of states at the Fermi level, the calculation gives 4.39 states/eV/f.u. The value obtained for the total magnetization is 0.000 μB/atom. Its crystal system is tetragonal. The value obtained for the raw total energy is -3.780 eV/atom. For the formation energy, the calculation gives 0.43 eV per atom.

Entry 5:
VASP calculation (PBE) on a geometry-optimized NaSrZr2Fe structure.

It has space group P4/mmm (No. 123), with a = 5.104 Å, b = 5.104 Å, c = 5.400 Å, α = 90.00°, β = 90.00° and γ = 90.00°. The asymmetric unit holds Na at (0.000, 0.000, 0.000), Sr at (0.000, 0.000, 0.500), Zr at (0.000, 0.500, 0.000) and Fe at (0.500, 0.500, 0.500).

For the density of states at the Fermi level, the calculation gives 10.56 states/eV/f.u. The value obtained for the total magnetization is 0.145 μB/atom. Its crystal system is tetragonal. The value obtained for the raw total energy is -3.705 eV/atom. For the formation energy, the calculation gives 2.01 eV per atom.

Entry 6:
VASP calculation (PBE) on a geometry-optimized NaSrZr2Fe structure.

It has space group P4/mmm (No. 123), with a = 4.872 Å, b = 4.872 Å, c = 6.012 Å, α = 90.00°, β = 90.00° and γ = 90.00°. The asymmetric unit holds Na at (0.000, 0.000, 0.000), Sr at (0.500, 0.500, 0.000), Zr at (0.000, 0.500, 0.500) and Fe at (0.500, 0.500, 0.500).

For the density of states at the Fermi level, the calculation gives 6.58 states/eV/f.u. The value obtained for the total magnetization is 0.000 μB/atom. Its crystal system is tetragonal. The value obtained for the raw total energy is -5.257 eV/atom. For the formation energy, the calculation gives 0.46 eV per atom.

Entry 7:
VASP calculation (PBE) on a geometry-optimized NaTa3Fe structure.

It has space group Pm-3m (No. 221), with a = 4.581 Å, b = 4.581 Å, c = 4.581 Å, α = 90.00°, β = 90.00° and γ = 90.00°. The asymmetric unit holds Na at (0.000, 0.000, 0.000), Ta at (0.000, 0.000, 0.500) and Fe at (0.500, 0.500, 0.500).

For the density of states at the Fermi level, the calculation gives 12.12 states/eV/f.u. The value obtained for the total magnetization is 0.000 μB/atom. Its crystal system is cubic. The value obtained for the raw total energy is -6.335 eV/atom. For the formation energy, the calculation gives 2.73 eV per atom.

Entry 8:
VASP calculation (PBE) on a geometry-optimized NaTa3Fe structure.

It has space group Pm-3m (No. 221), with a = 4.670 Å, b = 4.670 Å, c = 4.670 Å, α = 90.00°, β = 90.00° and γ = 90.00°. The asymmetric unit holds Na at (0.000, 0.000, 0.000), Ta at (0.000, 0.500, 0.500) and Fe at (0.500, 0.500, 0.500).

For the density of states at the Fermi level, the calculation gives 7.72 states/eV/f.u. The value obtained for the total magnetization is 0.000 μB/atom. Its crystal system is cubic. The value obtained for the raw total energy is -8.118 eV/atom. For the formation energy, the calculation gives 0.95 eV per atom.

Entry 9:
VASP calculation (PBE) on a geometry-optimized Na2TaFe structure.

It has space group Fm-3m (No. 225), with a = 6.801 Å, b = 6.801 Å, c = 6.801 Å, α = 90.00°, β = 90.00° and γ = 90.00°. The asymmetric unit holds Na at (0.250, 0.250, 0.250), Ta at (0.000, 0.000, 0.000) and Fe at (0.000, 0.000, 0.500).

For the density of states at the Fermi level, the calculation gives 4.76 states/eV/f.u. The value obtained for the total magnetization is 0.563 μB/atom. Its crystal system is cubic. The value obtained for the raw total energy is -4.122 eV/atom. For the formation energy, the calculation gives 1.62 eV per atom.

Entry 10:
VASP calculation (PBE) on a geometry-optimized Na2TaFe structure.

It has space group I-42d (No. 122), with a = 10.393 Å, b = 10.393 Å, c = 4.345 Å, α = 90.00°, β = 90.00° and γ = 90.00°. The asymmetric unit holds Na at (0.117, 0.250, 0.125), Ta at (0.000, 0.000, 0.500) and Fe at (0.000, 0.000, 0.000).

For the density of states at the Fermi level, the calculation gives 4.21 states/eV/f.u. The value obtained for the total magnetization is 0.000 μB/atom. Its crystal system is tetragonal. The value obtained for the raw total energy is -4.326 eV/atom. For the formation energy, the calculation gives 1.41 eV per atom.

Entry 11:
VASP calculation (PBE) on a geometry-optimized NaTaFe2 structure.

It has space group I-42d (No. 122), with a = 6.889 Å, b = 6.889 Å, c = 5.549 Å, α = 90.00°, β = 90.00° and γ = 90.00°. The asymmetric unit holds Na at (0.000, 0.000, 0.000), Ta at (0.000, 0.000, 0.500) and Fe at (0.232, 0.250, 0.625).

For the density of states at the Fermi level, the calculation gives 3.96 states/eV/f.u. The value obtained for the total magnetization is 0.716 μB/atom. Its crystal system is tetragonal. The value obtained for the raw total energy is -6.494 eV/atom. For the formation energy, the calculation gives 1.03 eV per atom.

Entry 12:
VASP calculation (PBE) on a geometry-optimized NaTaFe2 structure.

It has space group Fm-3m (No. 225), with a = 6.134 Å, b = 6.134 Å, c = 6.134 Å, α = 90.00°, β = 90.00° and γ = 90.00°. The asymmetric unit holds Na at (0.000, 0.000, 0.000), Ta at (0.000, 0.000, 0.500) and Fe at (0.250, 0.250, 0.250).

For the density of states at the Fermi level, the calculation gives 4.58 states/eV/f.u. The value obtained for the total magnetization is 0.461 μB/atom. Its crystal system is cubic. The value obtained for the raw total energy is -6.820 eV/atom. For the formation energy, the calculation gives 0.70 eV per atom.